# 1
Crystalline SrBe2Ni at its relaxed geometry. Source: the Alexandria database, functional PBE.

Summary:
* symmetry: I4/mmm (139)
* ΔE to the lowest computed polymorph: 718 meV per atom
* calculated formation energy: 0.648 eV per atom
* theoretical density: 4.23 g cm⁻³
* magnetization: 0.00 Bohr magnetons per cell

Cell lengths 4.2410, 4.2410, 7.1691 Å; angles 90.00, 90.00, 90.00 degrees
Element x y z (fractional)
1 Sr 0.0000 0.0000 0.0000
2 Sr 0.5000 0.5000 0.5000
3 Be 0.0000 0.5000 0.2500
4 Be 0.0000 0.5000 0.7500
5 Be 0.5000 0.0000 0.2500
6 Be 0.5000 0.0000 0.7500
7 Ni 0.0000 0.0000 0.5000
8 Ni 0.5000 0.5000 0.0000

# 2
Crystalline SrBe2Ni at its relaxed geometry. Source: the Alexandria database, functional PBE.

Summary:
* symmetry: P4/mmm (123)
* ΔE to the lowest computed polymorph: 996 meV per atom
* calculated formation energy: 0.926 eV per atom
* theoretical density: 4.35 g cm⁻³
* magnetization: 0.00 Bohr magnetons per cell

Cell lengths 4.6352, 4.6352, 2.9188 Å; angles 90.00, 90.00, 90.00 degrees
Element x y z (fractional)
1 Sr 0.0000 0.0000 0.0000
2 Be 0.0000 0.5000 0.5000
3 Be 0.5000 0.0000 0.5000
4 Ni 0.5000 0.5000 0.0000

# 3
Crystalline SrBe2Ni at its relaxed geometry. Source: the Alexandria database, functional PBE.

Summary:
* symmetry: P2/m (10)
* ΔE to the lowest computed polymorph: 389 meV per atom
* calculated formation energy: 0.319 eV per atom
* theoretical density: 3.94 g cm⁻³
* magnetization: 0.00 Bohr magnetons per cell

Cell lengths 3.2985, 3.7975, 5.6782 Å; angles 90.00, 103.20, 90.00 degrees
Element x y z (fractional)
1 Sr 0.0000 0.0000 0.0000
2 Be 0.3078 0.5000 0.6290
3 Be 0.6922 0.5000 0.3710
4 Ni 0.5000 0.0000 0.5000

# 4
Crystalline SrBe2Ni at its relaxed geometry. Source: the Alexandria database, functional PBE.

Summary:
* symmetry: Cmmm (65)
* ΔE to the lowest computed polymorph: 956 meV per atom
* calculated formation energy: 0.886 eV per atom
* theoretical density: 4.24 g cm⁻³
* magnetization: 0.00 Bohr magnetons per cell

Cell lengths 5.3264, 8.0785, 2.9940 Å; angles 90.00, 90.00, 90.00 degrees
Element x y z (fractional)
1 Sr 0.0000 0.0000 0.0000
2 Sr 0.5000 0.5000 0.0000
3 Be 0.2500 0.2500 0.5000
4 Be 0.2500 0.7500 0.5000
5 Be 0.7500 0.2500 0.5000
6 Be 0.7500 0.7500 0.5000
7 Ni 0.0000 0.5000 0.0000
8 Ni 0.5000 0.0000 0.0000

# 5
Crystalline SrBe2Ni at its relaxed geometry. Source: the Alexandria database, functional PBE.

Summary:
* symmetry: Pmmm (47)
* ΔE to the lowest computed polymorph: 332 meV per atom
* calculated formation energy: 0.262 eV per atom
* theoretical density: 4.52 g cm⁻³
* magnetization: 0.00 Bohr magnetons per cell

Cell lengths 2.9591, 3.0036, 6.7969 Å; angles 90.00, 90.00, 90.00 degrees
Element x y z (fractional)
1 Sr 0.0000 0.0000 0.0000
2 Be 0.5000 0.5000 0.3459
3 Be 0.5000 0.5000 0.6541
4 Ni 0.0000 0.0000 0.5000

# 6
Crystalline SrBe2Ni at its relaxed geometry. Source: the Alexandria database, functional PBE.

Summary:
* symmetry: I-4m2 (119)
* ΔE to the lowest computed polymorph: 770 meV per atom
* calculated formation energy: 0.700 eV per atom
* theoretical density: 4.10 g cm⁻³
* magnetization: 0.00 Bohr magnetons per cell

Cell lengths 4.5613, 4.5613, 6.3985 Å; angles 90.00, 90.00, 90.00 degrees
Element x y z (fractional)
1 Sr 0.0000 0.0000 0.0000
2 Sr 0.5000 0.5000 0.5000
3 Be 0.0000 0.0000 0.5000
4 Be 0.0000 0.5000 0.7500
5 Be 0.5000 0.0000 0.2500
6 Be 0.5000 0.5000 0.0000
7 Ni 0.0000 0.5000 0.2500
8 Ni 0.5000 0.0000 0.7500

# 7
Crystalline SrBe2Ni at its relaxed geometry. Source: the Alexandria database, functional PBE.

Summary:
* symmetry: Cm (8)
* ΔE to the lowest computed polymorph: 3 meV per atom
* calculated formation energy: -0.067 eV per atom
* theoretical density: 3.96 g cm⁻³
* magnetization: 0.00 Bohr magnetons per cell

Cell lengths 6.7069, 3.8768, 5.7677 Å; angles 90.00, 113.18, 90.00 degrees
Element x y z (fractional)
1 Sr 0.0000 0.0000 0.0000
2 Sr 0.5000 0.5000 0.0000
3 Be 0.0040 0.5000 0.5125
4 Be 0.3218 0.5000 0.4662
5 Be 0.5040 0.0000 0.5125
6 Be 0.8218 0.0000 0.4662
7 Ni 0.1819 0.0000 0.5461
8 Ni 0.6819 0.5000 0.5461

# 8
Crystalline SrBe2Ni at its relaxed geometry. Source: the Alexandria database, functional PBE.

Summary:
* symmetry: I4_1/amd (141)
* ΔE to the lowest computed polymorph: 242 meV per atom
* calculated formation energy: 0.172 eV per atom
* theoretical density: 3.62 g cm⁻³
* magnetization: 0.00 Bohr magnetons per cell

Cell lengths 4.5680, 4.5680, 14.4673 Å; angles 90.00, 90.00, 90.00 degrees
Element x y z (fractional)
1 Sr 0.0000 0.2500 0.3750
2 Sr 0.0000 0.7500 0.6250
3 Sr 0.5000 0.2500 0.1250
4 Sr 0.5000 0.7500 0.8750
5 Be 0.0000 0.0000 0.0000
6 Be 0.0000 0.5000 0.0000
7 Be 0.2500 0.2500 0.7500
8 Be 0.2500 0.7500 0.2500
9 Be 0.5000 0.0000 0.5000
10 Be 0.5000 0.5000 0.5000
11 Be 0.7500 0.2500 0.7500
12 Be 0.7500 0.7500 0.2500
13 Ni 0.0000 0.2500 0.8750
14 Ni 0.0000 0.7500 0.1250
15 Ni 0.5000 0.2500 0.6250
16 Ni 0.5000 0.7500 0.3750

# 9
Crystalline SrBe2Ni at its relaxed geometry. Source: the Alexandria database, functional PBE.

Summary:
* symmetry: C2/m (12)
* ΔE to the lowest computed polymorph: 0 meV per atom
* calculated formation energy: -0.070 eV per atom
* theoretical density: 3.99 g cm⁻³
* magnetization: 0.00 Bohr magnetons per cell

Cell lengths 6.6772, 3.8622, 5.7967 Å; angles 90.00, 113.80, 90.00 degrees
Element x y z (fractional)
1 Sr 0.0000 0.0000 0.0000
2 Sr 0.5000 0.5000 0.0000
3 Be 0.1807 0.0000 0.5425
4 Be 0.3193 0.5000 0.4575
5 Be 0.6807 0.5000 0.5425
6 Be 0.8193 0.0000 0.4575
7 Ni 0.0000 0.5000 0.5000
8 Ni 0.5000 0.0000 0.5000

# 10
Crystalline Sr2BeNi2 at its relaxed geometry. Source: the Alexandria database, functional PBE.

Summary:
* symmetry: P4/mbm (127)
* calculated formation energy: 0.281 eV per atom
* theoretical density: 4.71 g cm⁻³
* magnetization: 0.00 Bohr magnetons per cell

Cell lengths 6.8926, 6.8926, 4.4811 Å; angles 90.00, 90.00, 90.00 degrees
Element x y z (fractional)
1 Sr 0.1812 0.3188 0.0000
2 Sr 0.3188 0.8188 0.0000
3 Sr 0.6812 0.1812 0.0000
4 Sr 0.8188 0.6812 0.0000
5 Be 0.0000 0.0000 0.5000
6 Be 0.5000 0.5000 0.5000
7 Ni 0.1236 0.6236 0.5000
8 Ni 0.3764 0.1236 0.5000
9 Ni 0.6236 0.8764 0.5000
10 Ni 0.8764 0.3764 0.5000

# 11
Crystalline SrBe2Ni at its relaxed geometry. Source: the Alexandria database, functional PBE.

Summary:
* symmetry: P4mm (99)
* ΔE to the lowest computed polymorph: 410 meV per atom
* calculated formation energy: 0.340 eV per atom
* theoretical density: 4.35 g cm⁻³
* magnetization: 0.00 Bohr magnetons per cell

Cell lengths 3.0577, 3.0577, 6.7099 Å; angles 90.00, 90.00, 90.00 degrees
Element x y z (fractional)
1 Sr 0.0000 0.0000 0.0000
2 Be 0.0000 0.0000 0.5270
3 Be 0.5000 0.5000 0.3517
4 Ni 0.5000 0.5000 0.6606

# 12
Crystalline SrBe2Ni at its relaxed geometry. Source: the Alexandria database, functional PBE.

Summary:
* symmetry: Imm2 (44)
* ΔE to the lowest computed polymorph: 450 meV per atom
* calculated formation energy: 0.380 eV per atom
* theoretical density: 3.63 g cm⁻³
* magnetization: 0.00 Bohr magnetons per cell

Cell lengths 3.8717, 5.5499, 6.9882 Å; angles 90.00, 90.00, 90.00 degrees
Element x y z (fractional)
1 Sr 0.0000 0.0000 0.0000
2 Sr 0.5000 0.5000 0.5000
3 Be 0.0000 0.0000 0.5019
4 Be 0.0000 0.5000 0.8481
5 Be 0.5000 0.0000 0.3481
6 Be 0.5000 0.5000 0.0019
7 Ni 0.0000 0.5000 0.1418
8 Ni 0.5000 0.0000 0.6418

# 13
Crystalline SrBe2Ni at its relaxed geometry. Source: the Alexandria database, functional PBE.

Summary:
* symmetry: Pmm2 (25)
* ΔE to the lowest computed polymorph: 302 meV per atom
* calculated formation energy: 0.232 eV per atom
* theoretical density: 4.03 g cm⁻³
* magnetization: 0.00 Bohr magnetons per cell

Cell lengths 3.2591, 3.5287, 5.8891 Å; angles 90.00, 90.00, 90.00 degrees
Element x y z (fractional)
1 Sr 0.0000 0.0000 0.0000
2 Be 0.5000 0.0000 0.4731
3 Be 0.5000 0.5000 0.6748
4 Ni 0.0000 0.5000 0.4504

# 14
Crystalline SrBe2Ni at its relaxed geometry. Source: the Alexandria database, functional PBE.

Summary:
* symmetry: Fm-3m (225)
* ΔE to the lowest computed polymorph: 731 meV per atom
* calculated formation energy: 0.661 eV per atom
* theoretical density: 4.21 g cm⁻³
* magnetization: 0.00 Bohr magnetons per cell

Cell lengths 6.3750, 6.3750, 6.3750 Å; angles 90.00, 90.00, 90.00 degrees
Element x y z (fractional)
1 Sr 0.0000 0.0000 0.0000
2 Sr 0.0000 0.5000 0.5000
3 Sr 0.5000 0.0000 0.5000
4 Sr 0.5000 0.5000 0.0000
5 Be 0.2500 0.2500 0.2500
6 Be 0.2500 0.2500 0.7500
7 Be 0.2500 0.7500 0.2500
8 Be 0.2500 0.7500 0.7500
9 Be 0.7500 0.2500 0.2500
10 Be 0.7500 0.2500 0.7500
11 Be 0.7500 0.7500 0.2500
12 Be 0.7500 0.7500 0.7500
13 Ni 0.0000 0.0000 0.5000
14 Ni 0.0000 0.5000 0.0000
15 Ni 0.5000 0.0000 0.0000
16 Ni 0.5000 0.5000 0.5000